<one>
YHoNO: optimized geometry, PBE-GGA.

a b c (Å): 3.9483 4.8478 6.8851
angles (deg): 90.00 90.00 90.00
Last column: nearest neighbours and their distance in Å.
Fractional coordinates of all 8 atoms:
1 O 0.5000 0.9383 0.8324  2 Y 2.28, 3 Ho 2.30-2.43
2 Y 0.0000 0.4386 0.3346  2 O 2.28, 3 N 2.29-2.42
3 Ho 0.5000 0.4386 0.8337  2 N 2.28, 3 O 2.30-2.43
4 O 0.5000 0.4383 0.1676  2 Y 2.28, 3 Ho 2.30-2.43
5 Ho 0.5000 0.9386 0.1663  2 N 2.28, 3 O 2.30-2.43
6 Y 0.0000 0.9386 0.6654  2 O 2.28, 3 N 2.29-2.42
7 N 0.0000 0.9385 0.3329  2 Ho 2.28, 3 Y 2.29-2.42
8 N 0.0000 0.4385 0.6671  2 Ho 2.28, 3 Y 2.29-2.42

Symmetry: Pmma

<two>
YHoNO: optimized geometry, PBE-GGA.

a b c (Å): 4.4124 4.4124 7.6719
angles (deg): 90.00 90.00 90.02
Last column: nearest neighbours and their distance in Å.
Fractional coordinates of all 8 atoms:
1 O 0.7500 0.2500 0.9997  4 Ho 2.31
2 N 0.7500 0.7500 0.4159  4 Y 2.30
3 Ho 0.7500 0.7500 0.9120  4 O 2.31
4 Y 0.7500 0.2500 0.5004  4 N 2.30
5 O 0.2500 0.7500 0.9997  4 Ho 2.31
6 Ho 0.2500 0.2500 0.0876  4 O 2.31
7 Y 0.2500 0.7500 0.5004  4 N 2.30
8 N 0.2500 0.2500 0.5843  4 Y 2.30

Symmetry: P4/nmm

<three>
YHoNO: optimized geometry, PBE-GGA.

a b c (Å): 4.8182 4.8182 4.8140
angles (deg): 90.00 90.00 90.00
Last column: nearest neighbours and their distance in Å.
Fractional coordinates of all 8 atoms:
1 O 0.2500 0.7500 0.0000  2 Y 2.41, 4 Ho 2.41
2 Y 0.7500 0.2500 0.5000  2 O 2.41, 4 N 2.41
3 Ho 0.2500 0.2500 0.0011  2 N 2.41, 4 O 2.41
4 Y 0.2500 0.7500 0.5000  2 O 2.41, 4 N 2.41
5 N 0.2500 0.2500 0.5012  2 Ho 2.41, 4 Y 2.41
6 O 0.7500 0.2500 0.0000  2 Y 2.41, 4 Ho 2.41
7 N 0.7500 0.7500 0.4988  2 Ho 2.41, 4 Y 2.41
8 Ho 0.7500 0.7500 0.9989  2 N 2.41, 4 O 2.41

Symmetry: P4/nmm

Tell me which of them is the least stable. Sure, it is <two>.

<one>
YHoNO: optimized geometry, PBE-GGA.

a b c (Å): 3.9573 4.8542 6.8514
angles (deg): 90.00 90.00 90.00
Last column: nearest neighbours and their distance in Å.
Fractional coordinates of all 8 atoms:
1 Y 0.5000 0.9385 0.1650  2 N 2.31, 3 O 2.35-2.43
2 Ho 0.0000 0.4385 0.3319  2 O 2.24, 3 N 2.26-2.43
3 O 0.5000 0.4385 0.1779  2 Ho 2.24, 3 Y 2.35-2.43
4 N 0.0000 0.4385 0.6615  3 Ho 2.26-2.43, 2 Y 2.31
5 N 0.0000 0.9385 0.3385  3 Ho 2.26-2.43, 2 Y 2.31
6 Y 0.5000 0.4385 0.8350  2 N 2.31, 3 O 2.35-2.43
7 Ho 0.0000 0.9386 0.6681  2 O 2.24, 3 N 2.26-2.43
8 O 0.5000 0.9384 0.8221  2 Ho 2.24, 3 Y 2.35-2.43

Symmetry: Pmma

<two>
YHoNO: optimized geometry, PBE-GGA.

a b c (Å): 4.4462 4.4462 7.5694
angles (deg): 90.00 90.00 90.00
Last column: nearest neighbours and their distance in Å.
Fractional coordinates of all 8 atoms:
1 Y 0.2500 0.2500 0.0803  4 O 2.30
2 N 0.7500 0.7500 0.4263  4 Ho 2.29
3 Y 0.7500 0.7500 0.9197  4 O 2.30
4 N 0.2500 0.2500 0.5737  4 Ho 2.29
5 Ho 0.2500 0.7500 0.5000  4 N 2.29
6 O 0.2500 0.7500 0.0000  4 Y 2.30
7 Ho 0.7500 0.2500 0.5000  4 N 2.29
8 O 0.7500 0.2500 0.0000  4 Y 2.30

Symmetry: P4/nmm

Tell me which of them is the least stable. Sure, it is <two>.

<one>
YHoNO: optimized geometry, PBE-GGA.

a b c (Å): 4.8750 6.6980 8.0883
angles (deg): 90.00 90.00 90.00
Last column: nearest neighbours and their distance in Å.
Fractional coordinates of all 16 atoms:
1 N 0.0505 0.4279 0.1231  1 Y 2.26, 4 Ho 2.27-2.44
2 O 0.0509 0.9066 0.3645  4 Y 2.26-2.45, 1 Ho 2.27
3 Y 0.0510 0.0697 0.6233  4 O 2.26-2.45, 1 N 2.26
4 Ho 0.5500 0.9154 0.8740  1 O 2.27, 4 N 2.27-2.44
5 Y 0.5510 0.4303 0.6233  4 O 2.26-2.45, 1 N 2.26
6 N 0.0505 0.9279 0.8769  1 Y 2.26, 4 Ho 2.27-2.44
7 N 0.5505 0.5721 0.8769  1 Y 2.26, 4 Ho 2.27-2.44
8 Y 0.0510 0.5697 0.3767  4 O 2.26-2.45, 1 N 2.26
9 N 0.5505 0.0721 0.1231  1 Y 2.26, 4 Ho 2.27-2.44
10 Ho 0.0500 0.0846 0.1260  1 O 2.27, 4 N 2.27-2.44
11 O 0.5509 0.0934 0.6355  4 Y 2.26-2.45, 1 Ho 2.27
12 O 0.0509 0.4066 0.6355  4 Y 2.26-2.45, 1 Ho 2.27
13 O 0.5509 0.5934 0.3645  4 Y 2.26-2.45, 1 Ho 2.27
14 Y 0.5510 0.9303 0.3767  4 O 2.26-2.45, 1 N 2.26
15 Ho 0.5500 0.4154 0.1260  1 O 2.27, 4 N 2.27-2.44
16 Ho 0.0500 0.5846 0.8740  1 O 2.27, 4 N 2.27-2.44

Symmetry: Pbcm

<two>
YHoNO: optimized geometry, PBE-GGA.

a b c (Å): 6.5932 8.0454 4.9112
angles (deg): 90.00 90.00 90.00
Last column: nearest neighbours and their distance in Å.
Fractional coordinates of all 16 atoms:
1 Ho 0.9297 0.1216 0.5509  4 O 2.21-2.46, 1 N 2.22
2 O 0.9049 0.1296 0.0506  4 Ho 2.21-2.46, 1 Y 2.28
3 N 0.9324 0.6270 0.0502  1 Ho 2.22, 4 Y 2.27-2.46
4 Ho 0.0703 0.8784 0.0509  4 O 2.21-2.46, 1 N 2.22
5 Y 0.9171 0.6273 0.5507  4 N 2.27-2.46, 1 O 2.28
6 N 0.5676 0.6270 0.5502  1 Ho 2.22, 4 Y 2.27-2.46
7 O 0.4049 0.8704 0.0506  4 Ho 2.21-2.46, 1 Y 2.28
8 Y 0.0829 0.3727 0.0507  4 N 2.27-2.46, 1 O 2.28
9 Ho 0.4297 0.8784 0.5509  4 O 2.21-2.46, 1 N 2.22
10 Ho 0.5703 0.1216 0.0509  4 O 2.21-2.46, 1 N 2.22
11 Y 0.5829 0.6273 0.0507  4 N 2.27-2.46, 1 O 2.28
12 Y 0.4171 0.3727 0.5507  4 N 2.27-2.46, 1 O 2.28
13 N 0.0676 0.3730 0.5502  1 Ho 2.22, 4 Y 2.27-2.46
14 O 0.0951 0.8704 0.5506  4 Ho 2.21-2.46, 1 Y 2.28
15 O 0.5951 0.1296 0.5506  4 Ho 2.21-2.46, 1 Y 2.28
16 N 0.4324 0.3730 0.0502  1 Ho 2.22, 4 Y 2.27-2.46

Symmetry: Pbcm

Tell me which of them is the least stable. Sure, it is <two>.

<one>
HoZnNO: optimized geometry, PBE-GGA.

a b c (Å): 4.7594 4.7594 4.3896
angles (deg): 90.00 90.00 90.00
Last column: nearest neighbours and their distance in Å.
Fractional coordinates of all 8 atoms:
1 O 0.5000 0.5000 0.0000  2 Ho 2.19, 4 Zn 2.38
2 Ho 0.5000 0.5000 0.5000  2 O 2.19, 4 N 2.38
3 O 0.0000 0.0000 0.0000  2 Ho 2.19, 4 Zn 2.38
4 N 0.0000 0.5000 0.5000  2 Zn 2.19-2.20, 4 Ho 2.38
5 N 0.5000 0.0000 0.5000  2 Zn 2.19-2.20, 4 Ho 2.38
6 Zn 0.0000 0.5000 0.0003  2 N 2.19-2.20, 4 O 2.38
7 Zn 0.5000 0.0000 0.9997  2 N 2.19-2.20, 4 O 2.38
8 Ho 0.0000 0.0000 0.5000  2 O 2.19, 4 N 2.38

Symmetry: P4/mmm

<two>
HoZnNO: optimized geometry, PBE-GGA.

a b c (Å): 3.5702 5.6468 5.8790
angles (deg): 90.00 90.00 90.00
Last column: nearest neighbours and their distance in Å.
Fractional coordinates of all 8 atoms:
1 O 0.5000 0.3917 0.1658  2 Ho 2.18-2.20, 2 Zn 2.19
2 Zn 0.0000 0.0067 0.6495  2 N 1.95-1.98
3 O 0.5000 0.8917 0.8342  2 Ho 2.18-2.20, 2 Zn 2.19
4 Ho 0.5000 0.5029 0.8108  2 O 2.18-2.20, 2 N 2.18
5 N 0.0000 0.8527 0.3472  2 Zn 1.95-1.98, 2 Ho 2.18
6 Ho 0.5000 0.0029 0.1892  2 O 2.18-2.20, 2 N 2.18
7 Zn 0.0000 0.5067 0.3505  2 N 1.95-1.98
8 N 0.0000 0.3527 0.6528  2 Zn 1.95-1.98, 2 Ho 2.18

Symmetry: Pmc2_1

<three>
HoZnNO: optimized geometry, PBE-GGA.

a b c (Å): 3.6551 3.6551 7.7233
angles (deg): 90.00 90.00 90.00
Last column: nearest neighbours and their distance in Å.
Fractional coordinates of all 8 atoms:
1 O 0.7500 0.2500 0.0000  4 Ho 2.17
2 Zn 0.2500 0.7500 0.5000  4 N 2.15
3 Ho 0.2500 0.2500 0.1525  4 O 2.17
4 N 0.2500 0.2500 0.6468  4 Zn 2.15
5 O 0.2500 0.7500 0.0000  4 Ho 2.17
6 Zn 0.7500 0.2500 0.5000  4 N 2.15
7 N 0.7500 0.7500 0.3532  4 Zn 2.15
8 Ho 0.7500 0.7500 0.8475  4 O 2.17

Symmetry: P4/nmm

Tell me which of them is the least stable. Sure, it is <three>.